Entry 1
{
  "formula": "TlZnAu2",
  "functional": "PBEsol",
  "state": "relaxed",
  "lattice": [[-1.046, 1.210, 4.414], [-4.167, -1.158, 1.826], [-0.268, -3.293, 3.336]],
  "species": ["Zn", "Au", "Tl", "Au"],
  "fractional_positions": [[0.500, 0.500, 0.500], [0.750, 0.750, 0.750], [0.000, 0.000, 0.000], [0.250, 0.250, 0.250]],
  "spacegroup": "Fm-3m, No. 225",
  "crystal_system": "cubic"
}

Entry 2
{
  "formula": "TlZnAu2",
  "functional": "PBEsol",
  "state": "relaxed",
  "lattice": [[3.137, 0.000, 0.000], [0.000, 3.137, 0.000], [0.000, 0.000, 7.561]],
  "species": ["Zn", "Au", "Au", "Tl"],
  "fractional_positions": [[0.500, 0.500, 0.500], [0.000, 0.000, 0.300], [0.000, 0.000, 0.700], [0.500, 0.500, 0.000]],
  "spacegroup": "P4/mmm, No. 123",
  "crystal_system": "tetragonal"
}

Energy ordering: entry 2 at the bottom, the next structure 12.3 kJ/mol of atoms above.

Entry 1
{
  "formula": "ZrTl2Au",
  "functional": "PBEsol",
  "state": "relaxed",
  "lattice": [[4.976, 0.000, 0.000], [2.488, 4.309, 0.000], [2.488, 1.436, 4.063]],
  "species": ["Tl", "Tl", "Zr", "Au"],
  "fractional_positions": [[0.000, 0.000, 0.000], [0.750, 0.750, 0.750], [0.250, 0.250, 0.250], [0.500, 0.500, 0.500]],
  "spacegroup": "F-43m, No. 216",
  "crystal_system": "cubic"
}

Entry 2
{
  "formula": "ZrTl2Au",
  "functional": "PBEsol",
  "state": "relaxed",
  "lattice": [[-0.737, -0.229, -4.175], [-1.783, -3.817, 0.524], [-3.049, 4.124, 2.471]],
  "species": ["Tl", "Zr", "Tl", "Au"],
  "fractional_positions": [[0.750, 0.250, 0.500], [0.500, 0.500, 0.000], [0.250, 0.750, 0.500], [0.000, 0.000, 0.000]],
  "spacegroup": "I4/mmm, No. 139",
  "crystal_system": "tetragonal"
}

Energy ordering: entry 2 at the bottom, the next structure 2.2 kJ/mol of atoms above.

Entry 1
{
  "formula": "ZrTl2Au",
  "functional": "PBEsol",
  "state": "relaxed",
  "lattice": [[3.257, 0.012, 0.000], [-1.608, 2.832, 0.000], [0.000, 0.000, 9.603]],
  "species": ["Au", "Zr", "Tl", "Tl"],
  "fractional_positions": [[0.500, 0.500, 0.000], [0.500, 0.500, 0.500], [0.000, 0.000, 0.239], [0.000, 0.000, 0.761]],
  "spacegroup": "Cmmm, No. 65",
  "crystal_system": "orthorhombic"
}

Entry 2
{
  "formula": "ZrTl2Au",
  "functional": "PBEsol",
  "state": "relaxed",
  "lattice": [[3.230, 0.000, -0.014], [0.000, 4.614, 0.000], [-0.573, 0.000, 5.816]],
  "species": ["Zr", "Tl", "Tl", "Au"],
  "fractional_positions": [[0.500, 0.500, 0.000], [0.167, 0.000, 0.252], [0.833, 0.000, 0.748], [0.000, 0.500, 0.500]],
  "spacegroup": "P2/m, No. 10",
  "crystal_system": "monoclinic"
}

Energy ordering: entry 2 at the bottom, the next structure 8.2 kJ/mol of atoms above.

Entry 1
{
  "formula": "W3Au",
  "functional": "PBEsol",
  "state": "relaxed",
  "lattice": [[2.696, 0.000, 0.000], [0.000, 5.067, 0.000], [-1.348, -2.534, 4.646]],
  "species": ["W", "W", "Au", "W"],
  "fractional_positions": [[0.752, 0.427, 0.503], [0.248, 0.924, 0.497], [0.000, 0.996, 0.000], [0.500, 0.487, 0.000]],
  "spacegroup": "Imm2, No. 44",
  "crystal_system": "orthorhombic"
}

Entry 2
{
  "formula": "W3Au",
  "functional": "PBEsol",
  "state": "relaxed",
  "lattice": [[2.687, 0.000, 0.000], [0.000, 4.656, 0.000], [0.000, 0.000, 5.080]],
  "species": ["W", "Au", "W", "W"],
  "fractional_positions": [[0.000, 0.500, 0.322], [0.000, 0.000, 0.007], [0.500, 0.000, 0.517], [0.500, 0.500, 0.820]],
  "spacegroup": "Pmm2, No. 25",
  "crystal_system": "orthorhombic"
}

Entry 3
{
  "formula": "W3Au",
  "functional": "PBEsol",
  "state": "relaxed",
  "lattice": [[3.973, 0.000, 0.000], [0.000, 3.973, 0.000], [0.000, 0.000, 3.973]],
  "species": ["Au", "W", "W", "W"],
  "fractional_positions": [[0.000, 0.000, 0.000], [0.500, 0.500, 0.000], [0.000, 0.500, 0.500], [0.500, 0.000, 0.500]],
  "spacegroup": "Pm-3m, No. 221",
  "crystal_system": "cubic"
}

Energy ordering: entry 3 at the bottom, the next structure 9.3 kJ/mol of atoms above.

Entry 1
{
  "formula": "Zn2WAu",
  "functional": "PBEsol",
  "state": "relaxed",
  "lattice": [[-2.270, 0.156, -3.737], [1.749, -3.775, 1.342], [-2.586, -3.223, 1.437]],
  "species": ["Zn", "Au", "W", "Zn"],
  "fractional_positions": [[0.750, 0.500, 0.750], [0.500, 0.000, 0.500], [0.000, 0.000, 0.000], [0.250, 0.500, 0.250]],
  "spacegroup": "I4/mmm, No. 139",
  "crystal_system": "tetragonal"
}

Entry 2
{
  "formula": "Zn2WAu",
  "functional": "PBEsol",
  "state": "relaxed",
  "lattice": [[2.725, 0.000, 0.000], [-1.362, 4.493, -0.014], [0.000, -0.968, 4.964]],
  "species": ["Zn", "Au", "W", "Zn"],
  "fractional_positions": [[0.252, 0.504, 0.234], [0.000, 0.000, 0.500], [0.500, 0.000, 0.000], [0.748, 0.496, 0.766]],
  "spacegroup": "C2/m, No. 12",
  "crystal_system": "monoclinic"
}

Energy ordering: entry 2 at the bottom, the next structure 17.2 kJ/mol of atoms above.

Entry 1
{
  "formula": "ZrW2Au",
  "functional": "PBEsol",
  "state": "relaxed",
  "lattice": [[-3.062, 1.505, 0.155], [-1.477, -2.899, -1.038], [-0.561, -1.717, 5.596]],
  "species": ["Zr", "W", "W", "Au"],
  "fractional_positions": [[0.500, 0.500, 0.000], [0.000, 0.000, 0.737], [0.000, 0.000, 0.263], [0.500, 0.500, 0.500]],
  "spacegroup": "P4/mmm, No. 123",
  "crystal_system": "tetragonal"
}

Entry 2
{
  "formula": "ZrW2Au",
  "functional": "PBEsol",
  "state": "relaxed",
  "lattice": [[4.593, 0.000, 0.000], [2.296, 3.978, 0.000], [2.296, 1.326, 3.750]],
  "species": ["W", "Zr", "W", "Au"],
  "fractional_positions": [[0.000, 0.000, 0.000], [0.250, 0.250, 0.250], [0.750, 0.750, 0.750], [0.500, 0.500, 0.500]],
  "spacegroup": "F-43m, No. 216",
  "crystal_system": "cubic"
}

Energy ordering: entry 2 at the bottom, the next structure 17.8 kJ/mol of atoms above.

Entry 1
{
  "formula": "ZrWAu2",
  "functional": "PBEsol",
  "state": "relaxed",
  "lattice": [[2.876, 0.000, 0.000], [0.000, 2.876, 0.000], [0.000, 0.000, 8.321]],
  "species": ["W", "Au", "Zr", "Au"],
  "fractional_positions": [[0.500, 0.500, 0.000], [0.000, 0.000, 0.762], [0.500, 0.500, 0.500], [0.000, 0.000, 0.238]],
  "spacegroup": "P4/mmm, No. 123",
  "crystal_system": "tetragonal"
}

Entry 2
{
  "formula": "ZrWAu2",
  "functional": "PBEsol",
  "state": "relaxed",
  "lattice": [[4.063, 0.000, 0.000], [0.000, 4.063, 0.000], [-2.032, -2.032, 4.232]],
  "species": ["Zr", "Au", "W", "Au"],
  "fractional_positions": [[0.250, 0.750, 0.500], [0.750, 0.250, 0.500], [0.500, 0.500, 0.000], [0.000, 0.000, 0.000]],
  "spacegroup": "I-4m2, No. 119",
  "crystal_system": "tetragonal"
}

Energy ordering: entry 1 at the bottom, the next structure 8.3 kJ/mol of atoms above.

Entry 1
{
  "formula": "Y5Au3",
  "functional": "PBEsol",
  "state": "relaxed",
  "lattice": [[6.177, 0.000, 0.000], [0.000, 8.568, 0.000], [0.000, -4.284, 7.420]],
  "species": ["Au", "Y", "Au", "Y", "Y", "Au", "Y", "Au", "Y", "Y", "Y", "Y", "Y", "Y", "Au", "Au"],
  "fractional_positions": [[0.250, 0.398, 0.398], [0.500, 0.333, 0.667], [0.750, 0.398, 0.000], [0.250, 0.244, 0.000], [0.500, 0.667, 0.333], [0.250, 0.602, 0.000], [0.250, 0.000, 0.244], [0.750, 0.000, 0.398], [0.000, 0.333, 0.667], [0.750, 0.756, 0.000], [0.750, 0.244, 0.244], [0.750, 0.000, 0.756], [0.000, 0.667, 0.333], [0.250, 0.756, 0.756], [0.750, 0.602, 0.602], [0.250, 0.000, 0.602]],
  "spacegroup": "P6_3/mcm, No. 193",
  "crystal_system": "hexagonal"
}

Entry 2
{
  "formula": "Y5Au3",
  "functional": "PBEsol",
  "state": "relaxed",
  "lattice": [[6.100, 0.000, 0.000], [3.050, 8.030, 0.000], [3.050, 0.000, 8.030]],
  "species": ["Y", "Y", "Y", "Au", "Y", "Au", "Y", "Au", "Y", "Y", "Au", "Au", "Y", "Au", "Y", "Y"],
  "fractional_positions": [[0.210, 0.872, 0.708], [0.250, 0.500, 0.500], [0.082, 0.708, 0.128], [0.841, 0.818, 0.500], [0.750, 0.500, 0.500], [0.750, 0.000, 0.000], [0.710, 0.708, 0.872], [0.659, 0.500, 0.182], [0.918, 0.292, 0.872], [0.290, 0.292, 0.128], [0.341, 0.500, 0.818], [0.159, 0.182, 0.500], [0.582, 0.128, 0.708], [0.250, 0.000, 0.000], [0.790, 0.128, 0.292], [0.418, 0.872, 0.292]],
  "spacegroup": "I4/mcm, No. 140",
  "crystal_system": "tetragonal"
}

Energy ordering: entry 1 at the bottom, the next structure 2.0 kJ/mol of atoms above.

Entry 1
{
  "formula": "YZrAu",
  "functional": "PBEsol",
  "state": "relaxed",
  "lattice": [[-3.344, -0.037, -3.372], [-4.497, -1.029, 1.127], [-3.311, 3.403, -0.098]],
  "species": ["Zr", "Y", "Au"],
  "fractional_positions": [[0.500, 0.500, 0.500], [0.000, 0.000, 0.000], [0.250, 0.250, 0.250]],
  "spacegroup": "F-43m, No. 216",
  "crystal_system": "cubic"
}

Entry 2
{
  "formula": "YZrAu",
  "functional": "PBEsol",
  "state": "relaxed",
  "lattice": [[3.612, 0.000, 0.000], [0.000, 4.709, 0.000], [0.000, -2.354, 4.078]],
  "species": ["Au", "Y", "Zr"],
  "fractional_positions": [[0.094, 0.000, 0.000], [0.683, 0.333, 0.667], [0.224, 0.667, 0.333]],
  "spacegroup": "P3m1, No. 156",
  "crystal_system": "trigonal"
}

Energy ordering: entry 2 at the bottom, the next structure 8.7 kJ/mol of atoms above.

Entry 1
{
  "formula": "Zn3Au2",
  "functional": "PBEsol",
  "state": "relaxed",
  "lattice": [[-2.092, -2.305, 2.961], [3.337, -1.714, -2.094], [3.261, 1.812, 3.715]],
  "species": ["Zn", "Au", "Au", "Zn", "Zn"],
  "fractional_positions": [[0.667, 0.333, 0.643], [0.333, 0.667, 0.839], [0.667, 0.333, 0.161], [0.333, 0.667, 0.357], [0.000, 0.000, 0.000]],
  "spacegroup": "P-3m1, No. 164",
  "crystal_system": "trigonal"
}

Entry 2
{
  "formula": "Zn3Au2",
  "functional": "PBEsol",
  "state": "relaxed",
  "lattice": [[2.880, 0.000, 0.000], [1.440, 2.494, 0.000], [1.440, 0.831, 10.699]],
  "species": ["Zn", "Zn", "Au", "Zn", "Au"],
  "fractional_positions": [[0.000, 0.000, 0.000], [0.199, 0.199, 0.404], [0.401, 0.401, 0.798], [0.801, 0.801, 0.596], [0.599, 0.599, 0.202]],
  "spacegroup": "R-3m, No. 166",
  "crystal_system": "trigonal"
}

Energy ordering: entry 1 at the bottom, the next structure 7.5 kJ/mol of atoms above.

Entry 1
{
  "formula": "Zn2Au3",
  "functional": "PBEsol",
  "state": "relaxed",
  "lattice": [[2.901, 0.000, 0.000], [1.450, 2.512, 0.000], [1.450, 0.837, 10.862]],
  "species": ["Zn", "Au", "Zn", "Au", "Au"],
  "fractional_positions": [[0.399, 0.399, 0.804], [0.204, 0.204, 0.389], [0.601, 0.601, 0.196], [0.000, 0.000, 0.000], [0.796, 0.796, 0.611]],
  "spacegroup": "R-3m, No. 166",
  "crystal_system": "trigonal"
}

Entry 2
{
  "formula": "Zn2Au3",
  "functional": "PBEsol",
  "state": "relaxed",
  "lattice": [[-2.267, 3.695, -2.610], [-5.067, -0.732, -1.539], [-0.970, 0.848, 6.947]],
  "species": ["Au", "Au", "Zn", "Au", "Zn", "Au", "Au", "Zn", "Zn", "Au"],
  "fractional_positions": [[0.073, 0.000, 0.000], [0.737, 0.903, 0.205], [0.207, 0.441, 0.098], [0.434, 0.097, 0.795], [0.898, 0.059, 0.598], [0.323, 0.500, 0.500], [0.889, 0.597, 0.705], [0.359, 0.941, 0.402], [0.550, 0.559, 0.902], [0.781, 0.403, 0.295]],
  "spacegroup": "Fdd2, No. 43",
  "crystal_system": "orthorhombic"
}

Energy ordering: entry 2 at the bottom, the next structure 7.4 kJ/mol of atoms above.

Entry 1
{
  "formula": "Zn5Au3",
  "functional": "PBEsol",
  "state": "relaxed",
  "lattice": [[-2.596, -2.570, 1.695], [0.440, -3.307, -4.342], [4.087, -2.224, 2.886]],
  "species": ["Zn", "Zn", "Zn", "Zn", "Au", "Au", "Au", "Zn"],
  "fractional_positions": [[0.000, 0.000, 0.000], [0.500, 0.262, 0.262], [0.000, 0.000, 0.500], [0.000, 0.500, 0.000], [0.000, 0.500, 0.500], [0.500, 0.231, 0.769], [0.500, 0.769, 0.231], [0.500, 0.738, 0.738]],
  "spacegroup": "Cmmm, No. 65",
  "crystal_system": "orthorhombic"
}

Entry 2
{
  "formula": "Zn5Au3",
  "functional": "PBEsol",
  "state": "relaxed",
  "lattice": [[5.065, 0.000, 0.000], [0.000, 7.565, 0.000], [0.000, -3.782, 6.551]],
  "species": ["Zn", "Zn", "Zn", "Au", "Au", "Au", "Zn", "Zn", "Zn", "Zn", "Au", "Zn", "Zn", "Zn", "Au", "Au"],
  "fractional_positions": [[0.000, 0.333, 0.667], [0.250, 0.229, 0.229], [0.500, 0.333, 0.667], [0.750, 0.609, 0.000], [0.250, 0.609, 0.609], [0.250, 0.391, 0.000], [0.000, 0.667, 0.333], [0.750, 0.771, 0.771], [0.250, 0.000, 0.771], [0.750, 0.229, 0.000], [0.750, 0.000, 0.609], [0.500, 0.667, 0.333], [0.250, 0.771, 0.000], [0.750, 0.000, 0.229], [0.750, 0.391, 0.391], [0.250, 0.000, 0.391]],
  "spacegroup": "P6_3/mcm, No. 193",
  "crystal_system": "hexagonal"
}

Energy ordering: entry 1 at the bottom, the next structure 1.5 kJ/mol of atoms above.